Here is NaDy2YSe4 after structural relaxation from Alexandria via LeMat-Bulk. Energies are from GGA-PBE.

Output
VASP energy ... -5.601 eV per atom
Space group ... No. 10
Energy relative to the elements, uncorrected ... -1.735 eV per atom

abc: 7.1253 4.0748 7.1254
angles: 90.00 109.00 90.00
Sites, in units of the cell vectors:
Na 0.0000 0.0000 0.0000
Dy 0.5000 0.0000 0.5000
Dy 0.5000 0.5000 0.0000
Y 0.0000 0.5000 0.5000
Se 0.2507 0.0000 0.7506
Se 0.2545 0.5000 0.2537
Se 0.7455 0.5000 0.7463
Se 0.7493 0.0000 0.2494

=====

Here is NaDy4Y3Se8 after structural relaxation from Alexandria via LeMat-Bulk. Energies are from GGA-PBE.

Output
VASP energy ... -5.931 eV per atom
Space group ... No. 166
Energy relative to the elements, uncorrected ... -1.744 eV per atom

abc: 8.1790 8.1790 8.1790
angles: 60.01 60.01 60.01
Sites, in units of the cell vectors:
Na 0.0000 0.0000 0.0000
Dy 0.0000 0.0000 0.5000
Dy 0.0000 0.5000 0.0000
Dy 0.5000 0.0000 0.0000
Dy 0.5000 0.5000 0.5000
Y 0.0000 0.5000 0.5000
Y 0.5000 0.0000 0.5000
Y 0.5000 0.5000 0.0000
Se 0.2489 0.7504 0.7504
Se 0.2496 0.2496 0.2496
Se 0.2496 0.2496 0.7511
Se 0.2496 0.7511 0.2496
Se 0.7504 0.2489 0.7504
Se 0.7504 0.7504 0.2489
Se 0.7504 0.7504 0.7504
Se 0.7511 0.2496 0.2496

=====

Here is Na2DyY3Se6 after structural relaxation from Alexandria via LeMat-Bulk. Energies are from GGA-PBE.

Output
VASP energy ... -5.690 eV per atom
Space group ... No. 12
Energy relative to the elements, uncorrected ... -1.728 eV per atom

abc: 7.1104 7.1104 7.1831
angles: 99.49 99.49 119.94
Sites, in units of the cell vectors:
Na 0.1659 0.8341 0.0000
Na 0.8341 0.1659 0.0000
Dy 0.5000 0.5000 0.0000
Y 0.0000 0.0000 0.5000
Y 0.3308 0.6692 0.5000
Y 0.6692 0.3308 0.5000
Se 0.0871 0.4159 0.7475
Se 0.2574 0.2574 0.2561
Se 0.4159 0.0871 0.7475
Se 0.5841 0.9129 0.2525
Se 0.7426 0.7426 0.7439
Se 0.9129 0.5841 0.2525

=====

Here is Na4DyY3Se8 after structural relaxation from Alexandria via LeMat-Bulk. Energies are from GGA-PBE.

Output
VASP energy ... -5.286 eV per atom
Space group ... No. 166
Energy relative to the elements, uncorrected ... -1.714 eV per atom

abc: 8.4907 8.4907 8.4907
angles: 58.49 58.49 58.49
Sites, in units of the cell vectors:
Na 0.0000 0.0000 0.0000
Na 0.0000 0.5000 0.5000
Na 0.5000 0.0000 0.5000
Na 0.5000 0.5000 0.0000
Dy 0.5000 0.5000 0.5000
Y 0.0000 0.0000 0.5000
Y 0.0000 0.5000 0.0000
Y 0.5000 0.0000 0.0000
Se 0.2433 0.2433 0.2433
Se 0.2437 0.7430 0.7430
Se 0.2570 0.2570 0.7563
Se 0.2570 0.7563 0.2570
Se 0.7430 0.2437 0.7430
Se 0.7430 0.7430 0.2437
Se 0.7563 0.2570 0.2570
Se 0.7567 0.7567 0.7567